(i)
{"formula": "ZnTcB3", "functional": "GGA-PBE", "state": "relaxed", "magmom_total_mub_per_cell": 0.00, "spacegroup": "Pm-3m, No. 221", "lattice_angstrom": [[-1.679, 3.710, -0.423], [-2.732, -0.904, 2.913], [2.546, 1.476, 2.846]], "species": ["B", "B", "B", "Tc", "Zn"], "fractional_positions": [[0.000, 0.500, 0.000], [0.000, 0.000, 0.500], [0.500, 0.000, 0.000], [0.000, 0.000, 0.000], [0.500, 0.500, 0.500]]}

(ii)
{"formula": "ZnTcB3", "functional": "GGA-PBE", "state": "relaxed", "magmom_total_mub_per_cell": 0.00, "spacegroup": "Pm-3m, No. 221", "lattice_angstrom": [[-0.308, -3.158, 2.160], [-0.554, -2.107, -3.160], [3.785, -0.566, -0.287]], "species": ["B", "B", "B", "Tc", "Zn"], "fractional_positions": [[0.000, 0.500, 0.000], [0.500, 0.000, 0.000], [0.000, 0.000, 0.500], [0.500, 0.500, 0.500], [0.000, 0.000, 0.000]]}

Most stable: (i). Least stable: (ii).

(i)
{"formula": "CdSbMo2", "functional": "GGA-PBE", "state": "relaxed", "magmom_total_mub_per_cell": 0.00, "spacegroup": "Imm2, No. 44", "lattice_angstrom": [[5.494, 0.022, 0.025], [2.417, 4.933, -0.025], [-3.488, -3.224, 2.761]], "species": ["Sb", "Cd", "Mo", "Mo"], "fractional_positions": [[0.483, 0.483, 0.000], [0.756, 0.256, 0.500], [0.238, 0.738, 0.500], [0.023, 0.023, 0.000]]}

(ii)
{"formula": "CdSbMo2", "functional": "GGA-PBE", "state": "relaxed", "magmom_total_mub_per_cell": 0.00, "spacegroup": "P4/mmm, No. 123", "lattice_angstrom": [[4.701, -0.011, 0.000], [0.008, 4.701, 0.000], [0.000, 0.000, 3.247]], "species": ["Sb", "Cd", "Mo", "Mo"], "fractional_positions": [[0.500, 0.000, 0.500], [0.000, 0.500, 0.500], [0.500, 0.500, 0.000], [0.000, 0.000, 0.000]]}

Most stable: (i). Least stable: (ii).

(i)
{"formula": "CaSi2H", "functional": "GGA-PBE", "state": "relaxed", "magmom_total_mub_per_cell": 0.00, "spacegroup": "Cm, No. 8", "lattice_angstrom": [[6.290, 0.000, 0.016], [0.000, 3.876, 0.000], [-1.926, 0.000, 11.142]], "species": ["Si", "Si", "Si", "Si", "Si", "Si", "Si", "Si", "H", "H", "H", "H", "Ca", "Ca", "Ca", "Ca"], "fractional_positions": [[0.383, 0.500, 0.500], [0.905, 0.000, 0.642], [0.158, 0.000, 0.504], [0.383, 0.000, 0.000], [0.158, 0.500, 0.004], [0.694, 0.000, 0.164], [0.694, 0.500, 0.664], [0.905, 0.500, 0.142], [0.449, 0.500, 0.222], [0.434, 0.000, 0.793], [0.449, 0.000, 0.722], [0.434, 0.500, 0.293], [0.252, 0.500, 0.754], [0.807, 0.500, 0.398], [0.807, 0.000, 0.898], [0.252, 0.000, 0.254]]}

(ii)
{"formula": "CaSi2H", "functional": "GGA-PBE", "state": "relaxed", "magmom_total_mub_per_cell": 0.00, "spacegroup": "I4_1/amd, No. 141", "lattice_angstrom": [[-0.205, 0.704, -5.017], [-5.019, 0.657, 0.297], [-1.857, 6.117, -1.627]], "species": ["Si", "Si", "Si", "Si", "H", "H", "Ca", "Ca"], "fractional_positions": [[0.375, 0.625, 0.250], [0.375, 0.625, 0.750], [0.375, 0.125, 0.250], [0.875, 0.625, 0.750], [0.250, 0.750, 0.500], [0.500, 0.500, 0.000], [0.000, 0.000, 0.000], [0.750, 0.250, 0.500]]}

Most stable: (i). Least stable: (ii).

(i)
{"formula": "NaSi", "functional": "GGA-PBE", "state": "relaxed", "magmom_total_mub_per_cell": 0.00, "spacegroup": "P3m1, No. 156", "lattice_angstrom": [[-3.671, -1.179, 0.041], [2.318, -1.014, -2.910], [2.188, -6.671, 4.068]], "species": ["Na", "Na", "Si", "Si"], "fractional_positions": [[0.333, 0.667, 0.787], [0.000, 0.000, 0.408], [0.000, 0.000, 0.036], [0.667, 0.333, 0.137]]}

(ii)
{"formula": "NaSi", "functional": "GGA-PBE", "state": "relaxed", "magmom_total_mub_per_cell": 0.00, "spacegroup": "P6_3/mmc, No. 194", "lattice_angstrom": [[-3.843, -2.573, -2.140], [4.448, -2.327, 0.878], [-1.814, -1.539, 5.109]], "species": ["Na", "Na", "Si", "Si"], "fractional_positions": [[0.667, 0.333, 0.750], [0.333, 0.667, 0.250], [0.667, 0.333, 0.250], [0.333, 0.667, 0.750]]}

Most stable: (i). Least stable: (ii).

(i)
{"formula": "CoAg2Br", "functional": "GGA-PBE", "state": "relaxed", "magmom_total_mub_per_cell": 1.96, "spacegroup": "Fm-3m, No. 225", "lattice_angstrom": [[0.000, 3.366, 3.366], [3.366, 0.000, 3.366], [3.366, 3.366, 0.000]], "species": ["Co", "Br", "Ag", "Ag"], "fractional_positions": [[0.000, 0.000, 0.000], [0.500, 0.500, 0.500], [0.250, 0.250, 0.250], [0.750, 0.750, 0.750]]}

(ii)
{"formula": "CoAg2Br", "functional": "GGA-PBE", "state": "relaxed", "magmom_total_mub_per_cell": 2.02, "spacegroup": "R-3m, No. 166", "lattice_angstrom": [[9.539, 0.062, 0.037], [9.041, 3.042, 0.037], [9.041, 1.511, 2.641]], "species": ["Ag", "Ag", "Co", "Br"], "fractional_positions": [[0.010, 0.010, 0.010], [0.490, 0.490, 0.490], [0.750, 0.750, 0.750], [0.250, 0.250, 0.250]]}

Most stable: (ii). Least stable: (i).

(i)
{"formula": "Tc2IrOs", "functional": "GGA-PBE", "state": "relaxed", "magmom_total_mub_per_cell": 0.00, "spacegroup": "Fm-3m, No. 225", "lattice_angstrom": [[4.148, 1.388, 0.212], [1.310, 2.477, 3.365], [2.712, -1.657, 3.013]], "species": ["Tc", "Tc", "Os", "Ir"], "fractional_positions": [[0.750, 0.750, 0.750], [0.250, 0.250, 0.250], [0.000, 0.000, 0.000], [0.500, 0.500, 0.500]]}

(ii)
{"formula": "Tc2IrOs", "functional": "GGA-PBE", "state": "relaxed", "magmom_total_mub_per_cell": 0.00, "spacegroup": "C2/m, No. 12", "lattice_angstrom": [[-0.310, 0.029, -6.541], [3.620, -4.177, -0.190], [-8.490, -0.043, 0.403]], "species": ["Tc", "Tc", "Tc", "Tc", "Tc", "Tc", "Tc", "Tc", "Os", "Os", "Os", "Os", "Ir", "Ir", "Ir", "Ir"], "fractional_positions": [[0.799, 0.000, 0.500], [0.201, 0.000, 0.500], [0.500, 0.544, 0.297], [0.000, 0.044, 0.797], [0.701, 0.500, 0.000], [0.299, 0.500, 0.000], [0.000, 0.956, 0.203], [0.500, 0.456, 0.703], [0.801, 0.500, 0.500], [0.699, 0.000, 0.000], [0.301, 0.000, 0.000], [0.199, 0.500, 0.500], [0.000, 0.549, 0.798], [0.500, 0.951, 0.702], [0.000, 0.451, 0.202], [0.500, 0.049, 0.298]]}

Most stable: (ii). Least stable: (i).

(i)
{"formula": "BC3", "functional": "GGA-PBE", "state": "relaxed", "magmom_total_mub_per_cell": 0.00, "spacegroup": "Cm, No. 8", "lattice_angstrom": [[4.244, 0.058, -5.439], [-0.279, 2.518, -6.542], [0.116, -0.070, 7.014]], "species": ["C", "C", "C", "C", "C", "C", "C", "C", "C", "B", "B", "B"], "fractional_positions": [[0.616, 0.622, 0.994], [0.484, 0.840, 0.644], [0.494, 0.499, 0.995], [0.011, 0.335, 0.676], [0.614, 0.959, 0.656], [0.140, 0.453, 0.687], [0.133, 0.797, 0.336], [0.494, 0.161, 0.333], [0.148, 0.125, 0.023], [0.635, 0.289, 0.345], [0.990, 0.001, 0.989], [0.991, 0.669, 0.322]]}

(ii)
{"formula": "BC3", "functional": "GGA-PBE", "state": "relaxed", "magmom_total_mub_per_cell": 0.00, "spacegroup": "Cm, No. 8", "lattice_angstrom": [[-3.520, -3.790, -2.907], [-1.156, -4.452, -3.748], [0.863, -2.536, 4.421]], "species": ["C", "C", "C", "C", "C", "C", "C", "C", "C", "B", "B", "B"], "fractional_positions": [[0.668, 0.668, 0.830], [0.244, 0.244, 0.376], [0.920, 0.920, 0.220], [0.324, 0.324, 0.658], [0.586, 0.586, 0.548], [0.667, 0.667, 0.337], [0.008, 0.008, 0.506], [0.590, 0.590, 0.042], [0.248, 0.248, 0.868], [0.329, 0.329, 0.161], [0.898, 0.898, 0.645], [0.019, 0.019, 0.056]]}

Most stable: (i). Least stable: (ii).

(i)
{"formula": "AgTeCl2", "functional": "GGA-PBE", "state": "relaxed", "magmom_total_mub_per_cell": 0.76, "spacegroup": "Pmmm, No. 47", "lattice_angstrom": [[3.277, 0.000, 0.000], [0.000, 3.302, 0.000], [0.000, 0.000, 8.366]], "species": ["Cl", "Cl", "Te", "Ag"], "fractional_positions": [[0.000, 0.000, 0.543], [0.000, 0.000, 0.957], [0.500, 0.500, 0.250], [0.500, 0.500, 0.750]]}

(ii)
{"formula": "AgTeCl2", "functional": "GGA-PBE", "state": "relaxed", "magmom_total_mub_per_cell": 0.00, "spacegroup": "Cm, No. 8", "lattice_angstrom": [[5.862, -0.001, -0.005], [4.869, 3.264, -0.005], [0.578, 0.176, 5.941]], "species": ["Ag", "Cl", "Cl", "Te"], "fractional_positions": [[0.257, 0.257, 0.199], [0.934, 0.934, 0.120], [0.721, 0.721, 0.738], [0.588, 0.588, 0.443]]}

Most stable: (ii). Least stable: (i).